# PBE-GGA AlWSe2, optimized geometry
# ΔE_f (raw) (eV per atom): 0.418
# Calculated density (g cm⁻³): 7.967
# N(E_F) (states/eV/cell): 4.8
# Total magnetization (μB per atom): 0.00
data_AlWSe2
_cell_length_a 3.1509
_cell_length_b 5.0737
_cell_length_c 9.6152
_cell_angle_alpha 90.00
_cell_angle_beta 90.00
_cell_angle_gamma 90.00
_space_group_name_H-M_alt 'C m m m'
_space_group_IT_number 65
_space_group_name_Hall '-C 2 2'
loop_
_atom_site_label
_atom_site_type_symbol
_atom_site_fract_x
_atom_site_fract_y
_atom_site_fract_z
Al1 Al 0.0000 0.0000 0.0000
W1 W 0.0000 0.0000 0.5000
Se1 Se 0.0000 0.5000 0.2846